NiSe2O2 PBE with a Hubbard U optimized geometry; DFT total energy = -0.1228 Ha/atom; crystal system = tetragonal
1.0
-1.735 1.735 8.222
1.735 -1.735 8.222
1.735 1.735 -8.222
Ni Se O
1 2 2
direct
0.000 0.000 0.000
0.250 0.750 0.500
0.750 0.250 0.500
0.455 0.455 0.000
0.545 0.545 0.000